(1)
Entry from Alexandria: crystalline Ac2Tb3Hg4 at its relaxed geometry (GGA-PBE).

Cell and atoms, written as POSCAR:
```
Ac2Tb3Hg4
1.0
3.599 -8.997 0.000
3.599 8.997 0.000
0.000 0.000 8.561
Ac Tb Hg
4 6 8
direct
0.099 0.901 0.911
0.401 0.599 0.411
0.599 0.401 0.589
0.901 0.099 0.089
0.000 0.000 0.500
0.017 0.483 0.750
0.483 0.017 0.250
0.500 0.500 0.000
0.517 0.983 0.750
0.983 0.517 0.250
0.173 0.827 0.530
0.189 0.311 0.750
0.311 0.189 0.250
0.327 0.673 0.030
0.673 0.327 0.970
0.689 0.811 0.750
0.811 0.689 0.250
0.827 0.173 0.470
```

Properties
Total DFT energy (no corrections): -53.1 eV/cell
M_tot: 0.00 μB/atom



(2)
Entry from Alexandria: crystalline Ac2Tb2Hg at its relaxed geometry (GGA-PBE).

Cell and atoms, written as POSCAR:
```
Ac2Tb2Hg
1.0
3.901 0.000 0.000
0.000 3.901 0.000
0.000 0.000 23.221
Ac Tb Hg
4 4 2
direct
0.000 0.000 0.091
0.000 0.000 0.909
0.500 0.500 0.409
0.500 0.500 0.591
0.000 0.000 0.297
0.000 0.000 0.703
0.500 0.500 0.203
0.500 0.500 0.797
0.000 0.000 0.500
0.500 0.500 0.000
```

Properties
Total DFT energy (no corrections): -37.0 eV/cell
M_tot: 0.00 μB/atom



(3)
Entry from Alexandria: crystalline AcTb5Hg4 at its relaxed geometry (GGA-PBE).

Cell and atoms, written as POSCAR:
```
AcTb5Hg4
1.0
3.754 0.000 0.000
0.000 3.754 0.000
0.000 0.000 20.130
Ac Tb Hg
1 5 4
direct
0.000 0.000 0.000
0.500 0.500 0.132
0.500 0.500 0.316
0.500 0.500 0.500
0.500 0.500 0.684
0.500 0.500 0.868
0.000 0.000 0.222
0.000 0.000 0.407
0.000 0.000 0.593
0.000 0.000 0.778
```

Properties
Total DFT energy (no corrections): -32.2 eV/cell
M_tot: 0.06 μB/atom



(4)
Entry from Alexandria: crystalline Ac2Tb3Hg2 at its relaxed geometry (GGA-PBE).

Cell and atoms, written as POSCAR:
```
Ac2Tb3Hg2
1.0
12.481 0.000 0.000
0.000 4.927 0.000
-3.913 0.000 7.611
Ac Tb Hg
4 6 4
direct
0.136 0.000 0.288
0.364 0.500 0.712
0.636 0.500 0.288
0.864 0.000 0.712
0.000 0.500 0.500
0.132 0.500 0.957
0.368 0.000 0.043
0.500 0.000 0.500
0.632 0.000 0.957
0.868 0.500 0.043
0.144 0.000 0.705
0.356 0.500 0.295
0.644 0.500 0.705
0.856 0.000 0.295
```

Properties
Total DFT energy (no corrections): -48.4 eV/cell
Polymorph energy (0 for the lowest one): 0.000 eV per atom
M_tot: 0.00 μB/atom